# 1
Here is ZrNiTe2 after structural relaxation from Alexandria. Energies are from PBE.

Results
crystal system = tetragonal
size of the total moment = 0.0 μB per formula unit
symmetry = I-42d (122)
formation energy from raw total energies = -0.247 eV/atom
ρ = 5.8 g/cm³
VASP energy = -5.3999 eV/atom

Lattice parameters (Å, degrees): 7.3997 7.3997 7.3997 130.26 130.26 72.99
Closest atoms and distances in Å follow each position.
Element x y z (fractional)
Zr1 0.0000 0.0000 0.0000  4 Te 2.81
Zr2 0.7500 0.2500 0.5000  4 Te 2.81
Ni1 0.2500 0.7500 0.5000  4 Te 2.51
Ni2 0.5000 0.5000 0.0000  4 Te 2.51
Te1 0.1660 0.6250 0.0410  2 Ni 2.51, 2 Zr 2.81
Te2 0.3750 0.4160 0.5410  2 Ni 2.51, 2 Zr 2.81
Te3 0.5840 0.1250 0.9590  2 Ni 2.51, 2 Zr 2.81
Te4 0.8750 0.8340 0.4590  2 Ni 2.51, 2 Zr 2.81

# 2
Here is Mg2InIr3 after structural relaxation from Alexandria. Energies are from PBE.

Results
crystal system = orthorhombic
ΔE_f = -0.247 eV per atom
size of the total moment = 0.0 μB per formula unit
symmetry = Cmmm (65)
ρ = 12.9 g/cm³
VASP energy = -5.6654 eV/atom

Lattice parameters (Å, degrees): 7.0298 7.0298 3.2099 90.00 90.00 143.12
Closest atoms and distances in Å follow each position.
Element x y z (fractional)
Mg1 0.1674 0.8326 0.0000  8 Ir 2.70-2.75
Mg2 0.8326 0.1674 0.0000  8 Ir 2.70-2.75
In1 0.5000 0.5000 0.0000  8 Ir 2.74-2.78
Ir1 0.0000 0.0000 0.5000  4 In 2.74, 4 Mg 2.75
Ir2 0.3302 0.6698 0.5000  6 Mg 2.70-2.74, 2 In 2.78
Ir3 0.6698 0.3302 0.5000  6 Mg 2.70-2.74, 2 In 2.78

# 3
Here is RbPPbO4 after structural relaxation from Alexandria. Energies are from PBE.

Results
crystal system = monoclinic
size of the total moment = 0.0 μB per formula unit
symmetry = P2_1/m (11)
formation energy from raw total energies = -2.025 eV/atom
ρ = 4.8 g/cm³
VASP energy = -6.2991 eV/atom

Lattice parameters (Å, degrees): 6.1966 5.8210 7.7931 90.00 108.92 90.00
Closest atoms and distances in Å follow each position.
Element x y z (fractional)
Rb1 0.2065 0.2500 0.4607  7 O 2.94-3.14
Rb2 0.7935 0.7500 0.5393  7 O 2.94-3.14
P1 0.2447 0.7500 0.1899  4 O 1.55-1.58
P2 0.7553 0.2500 0.8101  4 O 1.55-1.58
Pb1 0.2781 0.2500 0.9901  4 O 2.38-2.66
Pb2 0.7219 0.7500 0.0099  4 O 2.38-2.66
O1 0.0856 0.7500 0.3077  1 P 1.55
O2 0.0939 0.7500 0.9828  1 P 1.58
O3 0.4016 0.5323 0.2283  1 P 1.57
O4 0.4016 0.9677 0.2283  1 P 1.57
O5 0.5984 0.0323 0.7717  1 P 1.57
O6 0.5984 0.4677 0.7717  1 P 1.57
O7 0.9061 0.2500 0.0172  1 P 1.58
O8 0.9144 0.2500 0.6923  1 P 1.55

# 4
Here is Pm3GaSn3 after structural relaxation from Alexandria. Energies are from PBE.

Results
crystal system = hexagonal
ΔE_f = -0.435 eV per atom
size of the total moment = 0.0 μB per formula unit
symmetry = P6_3/m (176)
ρ = 6.3 g/cm³
VASP energy = -4.6189 eV/atom

Lattice parameters (Å, degrees): 9.1208 9.1208 6.2825 90.00 90.00 120.00
Closest atoms and distances in Å follow each position.
Element x y z (fractional)
Pm1 0.0728 0.3940 0.2500  5 Sn 3.11-3.21, 1 Ga 3.46
Pm2 0.3212 0.9272 0.2500  5 Sn 3.11-3.21, 1 Ga 3.46
Pm3 0.3940 0.3212 0.7500  5 Sn 3.11-3.21, 1 Ga 3.46
Pm4 0.6060 0.6788 0.2500  5 Sn 3.11-3.21, 1 Ga 3.46
Pm5 0.6788 0.0728 0.7500  5 Sn 3.11-3.21, 1 Ga 3.46
Pm6 0.9272 0.6060 0.7500  5 Sn 3.11-3.21, 1 Ga 3.46
Ga1 0.3333 0.6667 0.7500  3 Sn 2.73
Ga2 0.6667 0.3333 0.2500  3 Sn 2.73
Sn1 0.0650 0.3437 0.7500  1 Ga 2.73
Sn2 0.2787 0.9350 0.7500  1 Ga 2.73
Sn3 0.3437 0.2787 0.2500  1 Ga 2.73
Sn4 0.6563 0.7213 0.7500  1 Ga 2.73
Sn5 0.7213 0.0650 0.2500  1 Ga 2.73
Sn6 0.9350 0.6563 0.2500  1 Ga 2.73